Co2AuF | GGA+U | optimized geometry

Cell lengths 6.1789, 6.1789, 6.1789 Å; angles 90.00, 90.00, 90.00 degrees
With the nearest neighbours (Å) after each atom.
Fractional positions:
Co (0.2500, 0.2500, 0.2500)  4 F 2.68, 4 Au 2.68
Co (0.2500, 0.2500, 0.7500)  4 F 2.68, 4 Au 2.68
Co (0.2500, 0.7500, 0.2500)  4 F 2.68, 4 Au 2.68
Co (0.2500, 0.7500, 0.7500)  4 F 2.68, 4 Au 2.68
Co (0.7500, 0.2500, 0.2500)  4 F 2.68, 4 Au 2.68
Co (0.7500, 0.2500, 0.7500)  4 F 2.68, 4 Au 2.68
Co (0.7500, 0.7500, 0.2500)  4 F 2.68, 4 Au 2.68
Co (0.7500, 0.7500, 0.7500)  4 F 2.68, 4 Au 2.68
Au (0.0000, 0.0000, 0.0000)  8 Co 2.68
Au (0.0000, 0.5000, 0.5000)  8 Co 2.68
Au (0.5000, 0.0000, 0.5000)  8 Co 2.68
Au (0.5000, 0.5000, 0.0000)  8 Co 2.68
F (0.0000, 0.0000, 0.5000)  8 Co 2.68
F (0.0000, 0.5000, 0.0000)  8 Co 2.68
F (0.5000, 0.0000, 0.0000)  8 Co 2.68
F (0.5000, 0.5000, 0.5000)  8 Co 2.68

Output
Energy: -59.6 eV/cell
Distance to the lowest polymorph of the same formula: 0.265 eV per atom
Space-group type: Fm-3m (225)